Record 1
Below is crystalline Tb2ZrZn2Rh5 at its relaxed geometry, with properties calculated at the GGA-PBE level.

- density of states at the Fermi level (states/eV/f.u.) = 5.4
- ΔH_f (0 K) (eV/atom) = -0.705

```
data_Tb2ZrZn2Rh5
_cell_length_a 9.8571
_cell_length_b 9.8571
_cell_length_c 3.6041
_cell_angle_alpha 90.00
_cell_angle_beta 90.00
_cell_angle_gamma 90.00
_symmetry_space_group_name_H-M 'P 4/m b m'
_symmetry_Int_Tables_number 127
_symmetry_space_group_name_Hall '-P 4 2ab'
loop_
_atom_site_label
_atom_site_fract_x
_atom_site_fract_y
_atom_site_fract_z
Tb1 0.1720 0.3280 0.0000
Zr1 0.0000 0.0000 0.0000
Zn1 0.1241 0.6241 0.0000
Rh1 0.0000 0.5000 0.5000
Rh2 0.0690 0.7960 0.5000
```

***

Record 2
Below is crystalline CrIrPt2 at its relaxed geometry, with properties calculated at the GGA-PBE level.

- density of states at the Fermi level (states/eV/f.u.) = 4.5
- ΔH_f (0 K) (eV/atom) = -0.162

```
data_CrIrPt2
_cell_length_a 3.8759
_cell_length_b 3.8759
_cell_length_c 7.7716
_cell_angle_alpha 90.00
_cell_angle_beta 90.00
_cell_angle_gamma 90.00
_symmetry_space_group_name_H-M 'I -4 m 2'
_symmetry_Int_Tables_number 119
_symmetry_space_group_name_Hall 'I -4 -2'
loop_
_atom_site_label
_atom_site_fract_x
_atom_site_fract_y
_atom_site_fract_z
Cr1 0.0000 0.0000 0.0000
Ir1 0.0000 0.5000 0.7500
Pt1 0.0000 0.0000 0.5000
Pt2 0.0000 0.5000 0.2500
```

***

Record 3
Below is crystalline Sc3TiH at its relaxed geometry, with properties calculated at the GGA-PBE level.

- density of states at the Fermi level (states/eV/f.u.) = 6.3
- excess energy over the best structure of this formula in the dataset (eV/atom) = 0.000

```
data_Sc3TiH
_cell_length_a 4.4687
_cell_length_b 4.4687
_cell_length_c 4.4687
_cell_angle_alpha 90.00
_cell_angle_beta 90.00
_cell_angle_gamma 90.00
_symmetry_space_group_name_H-M 'P m -3 m'
_symmetry_Int_Tables_number 221
_symmetry_space_group_name_Hall '-P 4 2 3'
loop_
_atom_site_label
_atom_site_fract_x
_atom_site_fract_y
_atom_site_fract_z
Sc1 0.0000 0.0000 0.5000
Ti1 0.5000 0.5000 0.5000
H1 0.0000 0.0000 0.0000
```

***

Record 4
Below is crystalline Pr3Ho3Er8 at its relaxed geometry, with properties calculated at the GGA-PBE level.

- density of states at the Fermi level (states/eV/f.u.) = 23.0
- ΔH_f (0 K) (eV/atom) = 0.108

```
data_Pr3Ho3Er8
_cell_length_a 5.6301
_cell_length_b 10.7619
_cell_length_c 15.0167
_cell_angle_alpha 90.00
_cell_angle_beta 90.00
_cell_angle_gamma 90.00
_symmetry_space_group_name_H-M 'I m m m'
_symmetry_Int_Tables_number 71
_symmetry_space_group_name_Hall '-I 2 2'
loop_
_atom_site_label
_atom_site_fract_x
_atom_site_fract_y
_atom_site_fract_z
Pr1 0.0000 0.0000 0.0000
Pr2 0.0000 0.5000 0.3155
Ho1 0.0000 0.0000 0.5000
Ho2 0.0000 0.2958 0.5000
Er1 0.0000 0.1613 0.2802
Er2 0.0000 0.3420 0.1022
```

***

Record 5
Below is crystalline Pm4Hg3Rh at its relaxed geometry, with properties calculated at the GGA-PBE level.

- density of states at the Fermi level (states/eV/f.u.) = 7.5
- ΔH_f (0 K) (eV/atom) = -0.528

```
data_Pm4Hg3Rh
_cell_length_a 3.6965
_cell_length_b 3.6965
_cell_length_c 15.3035
_cell_angle_alpha 90.00
_cell_angle_beta 90.00
_cell_angle_gamma 90.00
_symmetry_space_group_name_H-M 'P 4/m m m'
_symmetry_Int_Tables_number 123
_symmetry_space_group_name_Hall '-P 4 2'
loop_
_atom_site_label
_atom_site_fract_x
_atom_site_fract_y
_atom_site_fract_z
Pm1 0.0000 0.0000 0.1074
Pm2 0.0000 0.0000 0.3707
Hg1 0.5000 0.5000 0.2434
Hg2 0.5000 0.5000 0.5000
Rh1 0.5000 0.5000 0.0000
```

***

Record 6
Below is crystalline TbDyErAg at its relaxed geometry, with properties calculated at the GGA-PBE level.

- density of states at the Fermi level (states/eV/f.u.) = 4.9
- ΔH_f (0 K) (eV/atom) = -0.134
- excess energy over the best structure of this formula in the dataset (eV/atom) = 0.000

```
data_TbDyErAg
_cell_length_a 3.5495
_cell_length_b 3.5495
_cell_length_c 8.8526
_cell_angle_alpha 90.00
_cell_angle_beta 90.00
_cell_angle_gamma 90.00
_symmetry_space_group_name_H-M 'P 4 m m'
_symmetry_Int_Tables_number 99
_symmetry_space_group_name_Hall 'P 4 -2'
loop_
_atom_site_label
_atom_site_fract_x
_atom_site_fract_y
_atom_site_fract_z
Tb1 0.0000 0.0000 0.0000
Dy1 0.5000 0.5000 0.7130
Er1 0.5000 0.5000 0.2848
Ag1 0.0000 0.0000 0.4941
```

***

Record 7
Below is crystalline Mg2Ga at its relaxed geometry, with properties calculated at the GGA-PBE level.

- density of states at the Fermi level (states/eV/f.u.) = 1.1
- ΔH_f (0 K) (eV/atom) = -0.146

```
data_Mg2Ga
_cell_length_a 7.7714
_cell_length_b 7.7714
_cell_length_c 3.4909
_cell_angle_alpha 90.00
_cell_angle_beta 90.00
_cell_angle_gamma 120.00
_symmetry_space_group_name_H-M 'P -6 2 m'
_symmetry_Int_Tables_number 189
_symmetry_space_group_name_Hall 'P -6 -2'
loop_
_atom_site_label
_atom_site_fract_x
_atom_site_fract_y
_atom_site_fract_z
Mg1 0.0000 0.3831 0.0000
Mg2 0.0000 0.7218 0.5000
Ga1 0.0000 0.0000 0.0000
Ga2 0.3333 0.6667 0.5000
```

***

Record 8
Below is crystalline Li2ZnOsSe at its relaxed geometry, with properties calculated at the GGA-PBE level.

- density of states at the Fermi level (states/eV/f.u.) = 1.9
- formation energy from raw total energies (eV per atom) = 0.691

```
data_Li2ZnOsSe
_cell_length_a 4.4098
_cell_length_b 4.4098
_cell_length_c 5.0859
_cell_angle_alpha 90.00
_cell_angle_beta 90.00
_cell_angle_gamma 90.00
_symmetry_space_group_name_H-M 'P 4/m m m'
_symmetry_Int_Tables_number 123
_symmetry_space_group_name_Hall '-P 4 2'
loop_
_atom_site_label
_atom_site_fract_x
_atom_site_fract_y
_atom_site_fract_z
Li1 0.0000 0.5000 0.0000
Zn1 0.0000 0.0000 0.5000
Os1 0.5000 0.5000 0.5000
Se1 0.0000 0.0000 0.0000
```

***

Record 9
Below is crystalline Pr2Er7Tc2 at its relaxed geometry, with properties calculated at the GGA-PBE level.

- density of states at the Fermi level (states/eV/f.u.) = 10.5
- ΔH_f (0 K) (eV/atom) = 0.054

```
data_Pr2Er7Tc2
_cell_length_a 3.5422
_cell_length_b 19.4744
_cell_length_c 9.3198
_cell_angle_alpha 90.00
_cell_angle_beta 90.00
_cell_angle_gamma 90.00
_symmetry_space_group_name_H-M 'I m m 2'
_symmetry_Int_Tables_number 44
_symmetry_space_group_name_Hall 'I 2 -2'
loop_
_atom_site_label
_atom_site_fract_x
_atom_site_fract_y
_atom_site_fract_z
Pr1 0.0000 0.2439 0.0000
Er1 0.0000 0.1104 0.3065
Er2 0.0000 0.1342 0.6950
Er3 0.0000 0.4200 0.4843
Er4 0.0000 0.5000 0.0392
Tc1 0.0000 0.0000 0.7827
Tc2 0.0000 0.5000 0.7363
```

***

Record 10
Below is crystalline Cd3TcRh at its relaxed geometry, with properties calculated at the GGA-PBE level.

- density of states at the Fermi level (states/eV/f.u.) = 3.1
- ΔH_f (0 K) (eV/atom) = 1.037
- excess energy over the best structure of this formula in the dataset (eV/atom) = 0.000

```
data_Cd3TcRh
_cell_length_a 5.0640
_cell_length_b 5.0640
_cell_length_c 5.0640
_cell_angle_alpha 90.00
_cell_angle_beta 90.00
_cell_angle_gamma 90.00
_symmetry_space_group_name_H-M 'P m -3 m'
_symmetry_Int_Tables_number 221
_symmetry_space_group_name_Hall '-P 4 2 3'
loop_
_atom_site_label
_atom_site_fract_x
_atom_site_fract_y
_atom_site_fract_z
Cd1 0.0000 0.0000 0.5000
Tc1 0.5000 0.5000 0.5000
Rh1 0.0000 0.0000 0.0000
```

***

Record 11
Below is crystalline CuAgW3 at its relaxed geometry, with properties calculated at the GGA-PBE level.

- density of states at the Fermi level (states/eV/f.u.) = 2.5
- ΔH_f (0 K) (eV/atom) = 1.882
- excess energy over the best structure of this formula in the dataset (eV/atom) = 0.000

```
data_CuAgW3
_cell_length_a 4.5127
_cell_length_b 4.5127
_cell_length_c 4.5127
_cell_angle_alpha 90.00
_cell_angle_beta 90.00
_cell_angle_gamma 90.00
_symmetry_space_group_name_H-M 'P m -3 m'
_symmetry_Int_Tables_number 221
_symmetry_space_group_name_Hall '-P 4 2 3'
loop_
_atom_site_label
_atom_site_fract_x
_atom_site_fract_y
_atom_site_fract_z
Cu1 0.0000 0.0000 0.0000
Ag1 0.5000 0.5000 0.5000
W1 0.0000 0.0000 0.5000
```

***

Record 12
Below is crystalline AcDyTlNi at its relaxed geometry, with properties calculated at the GGA-PBE level.

- density of states at the Fermi level (states/eV/f.u.) = 4.8
- ΔH_f (0 K) (eV/atom) = -0.126

```
data_AcDyTlNi
_cell_length_a 7.5926
_cell_length_b 7.5926
_cell_length_c 7.5926
_cell_angle_alpha 90.00
_cell_angle_beta 90.00
_cell_angle_gamma 90.00
_symmetry_space_group_name_H-M 'F -4 3 m'
_symmetry_Int_Tables_number 216
_symmetry_space_group_name_Hall 'F -4 2 3'
loop_
_atom_site_label
_atom_site_fract_x
_atom_site_fract_y
_atom_site_fract_z
Ac1 0.0000 0.0000 0.0000
Dy1 0.0000 0.0000 0.5000
Tl1 0.2500 0.2500 0.2500
Ni1 0.2500 0.2500 0.7500
```

***

Record 13
Below is crystalline HgAu2Br at its relaxed geometry, with properties calculated at the GGA-PBE level.

- density of states at the Fermi level (states/eV/f.u.) = 0.9
- formation energy from raw total energies (eV per atom) = 0.042
- excess energy over the best structure of this formula in the dataset (eV/atom) = 0.025

```
data_HgAu2Br
_cell_length_a 9.0482
_cell_length_b 4.2690
_cell_length_c 6.2871
_cell_angle_alpha 90.00
_cell_angle_beta 100.54
_cell_angle_gamma 90.00
_symmetry_space_group_name_H-M 'C 1 2/m 1'
_symmetry_Int_Tables_number 12
_symmetry_space_group_name_Hall '-C 2y'
loop_
_atom_site_label
_atom_site_fract_x
_atom_site_fract_y
_atom_site_fract_z
Hg1 0.0000 0.0000 0.0000
Au1 0.1802 0.5000 0.8805
Br1 0.0000 0.5000 0.5000
```

***

Record 14
Below is crystalline MnFe2Ag at its relaxed geometry, with properties calculated at the GGA-PBE level.

- density of states at the Fermi level (states/eV/f.u.) = 4.6
- ΔH_f (0 K) (eV/atom) = 0.407
- excess energy over the best structure of this formula in the dataset (eV/atom) = 0.128

```
data_MnFe2Ag
_cell_length_a 8.8682
_cell_length_b 2.6895
_cell_length_c 4.6418
_cell_angle_alpha 90.00
_cell_angle_beta 100.59
_cell_angle_gamma 90.00
_symmetry_space_group_name_H-M 'C 1 2/m 1'
_symmetry_Int_Tables_number 12
_symmetry_space_group_name_Hall '-C 2y'
loop_
_atom_site_label
_atom_site_fract_x
_atom_site_fract_y
_atom_site_fract_z
Mn1 0.0000 0.0000 0.0000
Fe1 0.2442 0.5000 0.2231
Ag1 0.0000 0.5000 0.5000
```

***

Record 15
Below is crystalline SrMg2Cd10 at its relaxed geometry, with properties calculated at the GGA-PBE level.

- density of states at the Fermi level (states/eV/f.u.) = 5.5
- ΔH_f (0 K) (eV/atom) = -0.143

```
data_SrMg2Cd10
_cell_length_a 6.0535
_cell_length_b 14.1976
_cell_length_c 14.3132
_cell_angle_alpha 90.00
_cell_angle_beta 90.00
_cell_angle_gamma 90.00
_symmetry_space_group_name_H-M 'F m m m'
_symmetry_Int_Tables_number 69
_symmetry_space_group_name_Hall '-F 2 2'
loop_
_atom_site_label
_atom_site_fract_x
_atom_site_fract_y
_atom_site_fract_z
Sr1 0.0000 0.0000 0.0000
Mg1 0.2500 0.0000 0.2500
Cd1 0.0000 0.1078 0.3906
Cd2 0.0000 0.1738 0.1772
Cd3 0.2500 0.2500 0.0000
```

***

Record 16
Below is crystalline CrSi2Ag at its relaxed geometry, with properties calculated at the GGA-PBE level.

- density of states at the Fermi level (states/eV/f.u.) = 2.6
- formation energy from raw total energies (eV per atom) = 0.297
- excess energy over the best structure of this formula in the dataset (eV/atom) = 0.149

```
data_CrSi2Ag
_cell_length_a 4.0235
_cell_length_b 4.0235
_cell_length_c 3.6216
_cell_angle_alpha 90.00
_cell_angle_beta 90.00
_cell_angle_gamma 90.00
_symmetry_space_group_name_H-M 'P 4/m m m'
_symmetry_Int_Tables_number 123
_symmetry_space_group_name_Hall '-P 4 2'
loop_
_atom_site_label
_atom_site_fract_x
_atom_site_fract_y
_atom_site_fract_z
Cr1 0.0000 0.0000 0.0000
Si1 0.0000 0.5000 0.5000
Ag1 0.5000 0.5000 0.0000
```

***

Record 17
Below is crystalline ErTl2GeS4 at its relaxed geometry, with properties calculated at the GGA-PBE level.

- density of states at the Fermi level (states/eV/f.u.) = 3.8
- formation energy from raw total energies (eV per atom) = -0.824

```
data_ErTl2GeS4
_cell_length_a 6.8379
_cell_length_b 3.8491
_cell_length_c 7.7977
_cell_angle_alpha 90.00
_cell_angle_beta 106.53
_cell_angle_gamma 90.00
_symmetry_space_group_name_H-M 'P 1 2/m 1'
_symmetry_Int_Tables_number 10
_symmetry_space_group_name_Hall '-P 2y'
loop_
_atom_site_label
_atom_site_fract_x
_atom_site_fract_y
_atom_site_fract_z
Er1 0.0000 0.0000 0.0000
Tl1 0.0000 0.5000 0.5000
Tl2 0.5000 0.0000 0.5000
Ge1 0.5000 0.5000 0.0000
S1 0.2425 0.5000 0.1926
S2 0.2790 0.0000 0.8095
```

***

Record 18
Below is crystalline TbCe2ErP4 at its relaxed geometry, with properties calculated at the GGA-PBE level.

- density of states at the Fermi level (states/eV/f.u.) = 9.1
- ΔH_f (0 K) (eV/atom) = -1.557

```
data_TbCe2ErP4
_cell_length_a 6.9889
_cell_length_b 4.0453
_cell_length_c 7.0066
_cell_angle_alpha 90.00
_cell_angle_beta 109.51
_cell_angle_gamma 90.00
_symmetry_space_group_name_H-M 'P 1 2/m 1'
_symmetry_Int_Tables_number 10
_symmetry_space_group_name_Hall '-P 2y'
loop_
_atom_site_label
_atom_site_fract_x
_atom_site_fract_y
_atom_site_fract_z
Tb1 0.0000 0.0000 0.0000
Ce1 0.5000 0.0000 0.5000
Ce2 0.5000 0.5000 0.0000
Er1 0.0000 0.5000 0.5000
P1 0.2456 0.0000 0.7467
P2 0.2470 0.5000 0.2509
```

***

Record 19
Below is crystalline MnB3C at its relaxed geometry, with properties calculated at the GGA-PBE level.

- density of states at the Fermi level (states/eV/f.u.) = 1.6
- ΔH_f (0 K) (eV/atom) = 2.256
- excess energy over the best structure of this formula in the dataset (eV/atom) = 0.660

```
data_MnB3C
_cell_length_a 3.7613
_cell_length_b 3.7613
_cell_length_c 3.7613
_cell_angle_alpha 90.00
_cell_angle_beta 90.00
_cell_angle_gamma 90.00
_symmetry_space_group_name_H-M 'P m -3 m'
_symmetry_Int_Tables_number 221
_symmetry_space_group_name_Hall '-P 4 2 3'
loop_
_atom_site_label
_atom_site_fract_x
_atom_site_fract_y
_atom_site_fract_z
Mn1 0.0000 0.0000 0.0000
B1 0.0000 0.0000 0.5000
C1 0.5000 0.5000 0.5000
```

***

Record 20
Below is crystalline KTl2InW at its relaxed geometry, with properties calculated at the GGA-PBE level.

- density of states at the Fermi level (states/eV/f.u.) = 4.3
- ΔH_f (0 K) (eV/atom) = 1.952

```
data_KTl2InW
_cell_length_a 5.8659
_cell_length_b 5.8659
_cell_length_c 5.8952
_cell_angle_alpha 90.00
_cell_angle_beta 90.00
_cell_angle_gamma 90.00
_symmetry_space_group_name_H-M 'P 4/m m m'
_symmetry_Int_Tables_number 123
_symmetry_space_group_name_Hall '-P 4 2'
loop_
_atom_site_label
_atom_site_fract_x
_atom_site_fract_y
_atom_site_fract_z
K1 0.0000 0.0000 0.0000
Tl1 0.0000 0.5000 0.0000
In1 0.0000 0.0000 0.5000
W1 0.5000 0.5000 0.5000
```

***

no.,magnetization (Bohr magnetons per cell)
1,0.00
2,3.05
3,0.92
4,0.00
5,0.35
6,0.00
7,0.00
8,2.24
9,0.00
10,3.97
11,0.00
12,0.00
13,0.00
14,3.94
15,0.00
16,2.70
17,0.00
18,1.01
19,0.00
20,3.56